This record from Alexandria via LeMat-Bulk describes AlFe3O6 after structural relaxation. The functional is PBE with a Hubbard U.

a = 4.882 Å, b = 5.092 Å, c = 9.204 Å
α = 90.00°, β = 121.73°, γ = 90.00°
Element x y z (fractional)
Al  0.000  0.000  0.000
Al  0.000  0.500  0.500
Fe  0.302  0.058  0.789
Fe  0.302  0.442  0.289
Fe  0.500  0.000  0.500
Fe  0.500  0.500  0.000
Fe  0.698  0.558  0.711
Fe  0.698  0.942  0.211
O  0.078  0.098  0.223
O  0.078  0.402  0.723
O  0.302  0.705  0.105
O  0.302  0.795  0.605
O  0.366  0.183  0.047
O  0.366  0.317  0.547
O  0.634  0.683  0.453
O  0.634  0.817  0.953
O  0.698  0.205  0.395
O  0.698  0.295  0.895
O  0.922  0.598  0.277
O  0.922  0.902  0.777

Final energy in eV per atom: -6.5513